(1)
VASP calculation (PBE-GGA) on a geometry-optimized Pr2Y6Tm3Pu structure.

## Properties
Calculated formation energy   0.0576 eV per atom
Space-group type   C2/m (12)

a = 6.1832 Å, b = 6.1832 Å, c = 11.7723 Å
α = 95.04°, β = 95.04°, γ = 120.04°
Site moments in Bohr magnetons follow the coordinates.
Positions (direct):
Y  0.7549  0.7549  0.2530  0.01
Y  0.0842  0.4135  0.2528  0.01
Y  0.4135  0.0842  0.2528  0.01
Y  0.9158  0.5865  0.7472  0.01
Y  0.5865  0.9158  0.7472  0.01
Y  0.2451  0.2451  0.7470  0.01
Tm  0.5000  0.5000  0.5000  -0.06
Tm  0.1667  0.8333  0.5000  -0.05
Tm  0.8333  0.1667  0.5000  -0.05
Pr  0.6665  0.3335  0.0000  0.03
Pr  0.3335  0.6665  0.0000  0.03
Pu  0.0000  0.0000  0.0000  5.58



(2)
VASP calculation (PBE-GGA) on a geometry-optimized Pr3Y2Tm6Pu structure.

## Properties
Calculated formation energy   0.0490 eV per atom
Space-group type   C2/m (12)

a = 6.1615 Å, b = 6.1615 Å, c = 11.6668 Å
α = 95.05°, β = 95.05°, γ = 119.99°
Site moments in Bohr magnetons follow the coordinates.
Positions (direct):
Pr  0.5000  0.5000  0.5000  -0.03
Pr  0.1673  0.8327  0.5000  -0.02
Pr  0.8327  0.1673  0.5000  -0.02
Y  0.6666  0.3334  0.0000  0.05
Y  0.3334  0.6666  0.0000  0.05
Tm  0.7532  0.7532  0.2449  0.06
Tm  0.9183  0.5901  0.7553  0.06
Tm  0.4099  0.0817  0.2447  0.06
Tm  0.2468  0.2468  0.7551  0.06
Tm  0.0817  0.4099  0.2447  0.06
Tm  0.5901  0.9183  0.7553  0.06
Pu  0.0000  0.0000  0.0000  5.58



(3)
VASP calculation (PBE-GGA) on a geometry-optimized Pr6Y3Pu structure.

## Properties
Calculated formation energy   0.2326 eV per atom
Space-group type   P2_1/c (14)

a = 6.8353 Å, b = 9.8763 Å, c = 11.9882 Å
α = 90.00°, β = 119.52°, γ = 90.00°
Site moments in Bohr magnetons follow the coordinates.
Positions (direct):
Pr  0.5257  0.5729  0.7479  0.06
Pr  0.9743  0.0729  0.7521  0.06
Pr  0.0149  0.6551  0.0610  0.00
Pr  0.4743  0.4271  0.2521  0.06
Pr  0.0257  0.9271  0.2479  0.06
Pr  0.4851  0.1551  0.4390  0.00
Pr  0.5149  0.8449  0.5610  0.00
Pr  0.4979  0.1406  0.0820  0.03
Pr  0.0021  0.6406  0.4180  0.03
Pr  0.9979  0.3594  0.5820  0.03
Pr  0.5021  0.8594  0.9180  0.03
Pr  0.9851  0.3449  0.9390  0.00
Pu  0.5000  0.5000  0.5000  5.58
Pu  0.0000  0.0000  0.0000  5.58
Y  0.5110  0.8152  0.2411  0.00
Y  0.5000  0.5000  0.0000  -0.02
Y  0.4890  0.1848  0.7589  0.00
Y  0.0000  0.0000  0.5000  -0.02
Y  0.0110  0.6848  0.7411  0.00
Y  0.9890  0.3152  0.2589  0.00



(4)
VASP calculation (PBE-GGA) on a geometry-optimized Pr6Y2Pu structure.

## Properties
Calculated formation energy   0.0743 eV per atom
Space-group type   C2/c (15)

a = 6.9138 Å, b = 14.5640 Å, c = 14.5639 Å
α = 25.46°, β = 82.74°, γ = 82.74°
Site moments in Bohr magnetons follow the coordinates.
Positions (direct):
Pr  0.4240  0.2503  0.4137  -0.03
Pr  0.1296  0.5364  0.3542  0.06
Pr  0.6296  0.3542  0.5364  0.06
Pr  0.5760  0.7497  0.5863  -0.03
Pr  0.5359  0.8020  0.9796  0.03
Pr  0.9641  0.0204  0.1980  0.03
Pr  0.4641  0.1980  0.0204  0.03
Pr  0.9240  0.4137  0.2502  -0.03
Pr  0.3704  0.6458  0.4636  0.06
Pr  0.0760  0.5863  0.7498  -0.03
Pr  0.0359  0.9796  0.8020  0.03
Pr  0.8704  0.4636  0.6458  0.06
Y  0.8076  0.8598  0.6949  -0.01
Y  0.6924  0.3051  0.1402  -0.01
Y  0.3076  0.6949  0.8598  -0.01
Y  0.1924  0.1402  0.3051  -0.01
Pu  0.2500  0.0714  0.9286  5.65
Pu  0.7500  0.9286  0.0714  5.65



(5)
VASP calculation (PBE-GGA) on a geometry-optimized Pr6Y5Pu structure.

## Properties
Calculated formation energy   0.0492 eV per atom
Space-group type   Cmmm (65)

a = 5.1607 Å, b = 8.1709 Å, c = 11.3894 Å
α = 81.76°, β = 63.03°, γ = 71.59°
Site moments in Bohr magnetons follow the coordinates.
Positions (direct):
Y  0.3354  0.3292  0.0000  0.09
Y  0.5000  0.0000  0.5000  -0.07
Y  0.6646  0.6708  0.0000  0.09
Y  0.1669  0.6662  0.5000  -0.09
Y  0.8331  0.3338  0.5000  -0.09
Pr  0.9173  0.6702  0.2476  0.01
Pr  0.5876  0.3298  0.2476  0.01
Pr  0.2520  0.0000  0.2480  0.03
Pr  0.0827  0.3298  0.7524  0.01
Pr  0.7480  0.0000  0.7520  0.03
Pr  0.4124  0.6702  0.7524  0.01
Pu  0.0000  0.0000  0.0000  5.61



(6)
VASP calculation (PBE-GGA) on a geometry-optimized PrY2Pu structure.

## Properties
Calculated formation energy   0.2188 eV per atom
Space-group type   Fm-3m (225)
ΔE to the lowest computed polymorph   107 meV/atom

a = 5.6851 Å, b = 5.6851 Å, c = 5.6851 Å
α = 60.00°, β = 60.00°, γ = 60.00°
Site moments in Bohr magnetons follow the coordinates.
Positions (direct):
Pu  0.0000  0.0000  0.0000  5.54
Y  0.7500  0.7500  0.7500  0.10
Y  0.2500  0.2500  0.2500  0.10
Pr  0.5000  0.5000  0.5000  -0.01



(7)
VASP calculation (PBE-GGA) on a geometry-optimized Pr3Y6Pu structure.

## Properties
Calculated formation energy   0.2544 eV per atom
Space-group type   R3 (146)

a = 9.9465 Å, b = 9.9465 Å, c = 6.9478 Å
α = 44.29°, β = 44.29°, γ = 60.00°
Site moments in Bohr magnetons follow the coordinates.
Positions (direct):
Pu  0.8802  0.8802  0.3594  5.73
Pr  0.3827  0.3827  0.8520  0.16
Pr  0.1200  0.1200  0.6399  0.09
Pr  0.6350  0.6350  0.0951  0.20
Y  0.2309  0.9131  0.2670  0.07
Y  0.9131  0.5890  0.2670  0.07
Y  0.7467  0.0802  0.7508  0.10
Y  0.0802  0.4223  0.7508  0.10
Y  0.5890  0.2309  0.2670  0.07
Y  0.4223  0.7467  0.7508  0.10



(8)
VASP calculation (PBE-GGA) on a geometry-optimized PrYPu structure.

## Properties
Calculated formation energy   0.2336 eV per atom
Space-group type   P-6m2 (187)
ΔE to the lowest computed polymorph   100 meV/atom

a = 3.3360 Å, b = 5.7340 Å, c = 5.7340 Å
α = 120.00°, β = 90.00°, γ = 90.00°
Site moments in Bohr magnetons follow the coordinates.
Positions (direct):
Pr  0.1665  0.6667  0.3333  -0.10
Y  0.1668  0.0000  0.0000  -0.01
Pu  0.6666  0.3333  0.6667  5.44



(9)
VASP calculation (PBE-GGA) on a geometry-optimized Pr14YPu structure.

## Properties
Calculated formation energy   0.0417 eV per atom
Space-group type   P4/mmm (123)

a = 7.3754 Å, b = 7.3754 Å, c = 10.4108 Å
α = 90.00°, β = 90.00°, γ = 90.00°
Site moments in Bohr magnetons follow the coordinates.
Positions (direct):
Pr  0.8749  0.6248  0.5000  0.01
Pr  0.6265  0.8765  0.2453  0.03
Pr  0.3752  0.1251  0.5000  0.01
Pr  0.6264  0.3736  0.7550  0.03
Pr  0.6264  0.3736  0.2450  0.03
Pr  0.3753  0.6247  0.5000  -0.01
Pr  0.1237  0.8763  0.2458  0.02
Pr  0.8752  0.6254  0.0000  0.04
Pr  0.1237  0.8763  0.7542  0.02
Pr  0.1235  0.3735  0.7547  0.03
Pr  0.6265  0.8765  0.7547  0.03
Pr  0.3746  0.1248  0.0000  0.04
Pr  0.8748  0.1252  0.5000  0.00
Pr  0.1235  0.3735  0.2453  0.03
Pu  0.8751  0.1249  0.0000  5.62
Y  0.3748  0.6252  0.0000  -0.03



(10)
VASP calculation (PBE-GGA) on a geometry-optimized PrY14Pu structure.

## Properties
Calculated formation energy   0.0478 eV per atom
Space-group type   P4/mmm (123)

a = 7.1615 Å, b = 7.1615 Å, c = 10.0666 Å
α = 90.00°, β = 90.00°, γ = 90.01°
Site moments in Bohr magnetons follow the coordinates.
Positions (direct):
Y  0.6224  0.3776  0.7510  -0.03
Y  0.1275  0.3775  0.7511  -0.03
Y  0.1276  0.8724  0.7512  -0.03
Y  0.8750  0.6250  0.5000  0.04
Y  0.6225  0.8725  0.2489  -0.03
Y  0.3750  0.1250  0.5000  0.04
Y  0.6224  0.3776  0.2490  -0.03
Y  0.3751  0.1251  0.0000  -0.08
Y  0.8751  0.1249  0.5000  0.11
Y  0.8749  0.6249  0.0000  -0.08
Y  0.1276  0.8724  0.2488  -0.03
Y  0.1275  0.3775  0.2489  -0.03
Y  0.3749  0.6251  0.5000  0.04
Y  0.6225  0.8725  0.7511  -0.03
Pr  0.8750  0.1250  0.0000  0.03
Pu  0.3750  0.6250  0.0000  -5.60



(11)
VASP calculation (PBE-GGA) on a geometry-optimized PrYPu2 structure.

## Properties
Calculated formation energy   0.2262 eV per atom
Space-group type   P4/mmm (123)

a = 5.0845 Å, b = 4.8967 Å, c = 4.8967 Å
α = 90.00°, β = 90.00°, γ = 90.00°
Site moments in Bohr magnetons follow the coordinates.
Positions (direct):
Y  0.5000  0.0000  0.0000  0.13
Pu  0.0000  0.0000  0.5000  5.55
Pu  0.0000  0.5000  0.0000  5.55
Pr  0.5000  0.5000  0.5000  0.10



(12)
VASP calculation (PBE-GGA) on a geometry-optimized Pr5Y6Pu structure.

## Properties
Calculated formation energy   0.0442 eV per atom
Space-group type   C2/m (12)

a = 6.2817 Å, b = 6.2804 Å, c = 15.6951 Å
α = 70.51°, β = 48.16°, γ = 59.99°
Site moments in Bohr magnetons follow the coordinates.
Positions (direct):
Y  0.0819  0.3289  0.7533  0.03
Y  0.7395  0.0000  0.7532  0.04
Y  0.4108  0.6711  0.7533  0.03
Y  0.9181  0.6711  0.2467  0.03
Y  0.5892  0.3289  0.2467  0.03
Y  0.2605  0.0000  0.2468  0.04
Pr  0.1671  0.6659  0.5000  -0.01
Pr  0.3334  0.3331  0.0000  0.02
Pr  0.8329  0.3341  0.5000  -0.01
Pr  0.6666  0.6669  0.0000  0.02
Pr  0.5000  0.0000  0.5000  -0.01
Pu  0.0000  0.0000  0.0000  5.59



(13)
VASP calculation (PBE-GGA) on a geometry-optimized PrY2Pu structure.

## Properties
Calculated formation energy   0.2037 eV per atom
Space-group type   P4/mmm (123)
ΔE to the lowest computed polymorph   92 meV/atom

a = 3.7548 Å, b = 5.8656 Å, c = 5.8656 Å
α = 90.00°, β = 90.00°, γ = 90.00°
Site moments in Bohr magnetons follow the coordinates.
Positions (direct):
Y  0.0000  0.0000  0.5000  0.15
Y  0.0000  0.5000  0.0000  0.15
Pu  0.5000  0.5000  0.5000  5.65
Pr  0.5000  0.0000  0.0000  -0.04



(14)
VASP calculation (PBE-GGA) on a geometry-optimized Pr3Y4Pu structure.

## Properties
Calculated formation energy   0.1535 eV per atom
Space-group type   Immm (71)

a = 3.4798 Å, b = 11.7734 Å, c = 8.9615 Å
α = 131.06°, β = 101.20°, γ = 90.00°
Site moments in Bohr magnetons follow the coordinates.
Positions (direct):
Y  0.6319  0.8841  0.2638  0.04
Y  0.3681  0.6203  0.7361  0.04
Y  0.6319  0.3797  0.2639  0.04
Y  0.3681  0.1159  0.7362  0.04
Pu  0.5000  0.0000  0.0000  5.73
Pr  0.7646  0.7646  0.5291  0.03
Pr  0.2354  0.2354  0.4709  0.03
Pr  0.0000  0.5000  0.0000  -0.03



(15)
VASP calculation (PBE-GGA) on a geometry-optimized Pr4Y3Pu structure.

## Properties
Calculated formation energy   0.1521 eV per atom
Space-group type   Immm (71)

a = 3.5136 Å, b = 11.7588 Å, c = 8.9769 Å
α = 130.92°, β = 101.29°, γ = 90.00°
Site moments in Bohr magnetons follow the coordinates.
Positions (direct):
Pr  0.3696  0.6210  0.7391  0.02
Pr  0.6304  0.8818  0.2609  0.02
Pr  0.6304  0.3790  0.2609  0.02
Pr  0.3696  0.1182  0.7391  0.02
Pu  0.5000  0.0000  0.0000  5.70
Y  0.7672  0.7673  0.5345  0.09
Y  0.2328  0.2327  0.4655  0.09
Y  0.0000  0.5000  0.0000  -0.09



(16)
VASP calculation (PBE-GGA) on a geometry-optimized PrY2Pu structure.

## Properties
Calculated formation energy   0.1153 eV per atom
Space-group type   R3m (160)
ΔE to the lowest computed polymorph   3 meV/atom

a = 3.5793 Å, b = 3.5793 Å, c = 11.7870 Å
α = 81.27°, β = 81.27°, γ = 60.00°
Site moments in Bohr magnetons follow the coordinates.
Positions (direct):
Pu  0.6662  0.6662  0.0013  -5.58
Pr  0.5005  0.5005  0.4985  0.02
Y  0.2529  0.2529  0.2414  -0.07
Y  0.0804  0.0804  0.7588  -0.04



(17)
VASP calculation (PBE-GGA) on a geometry-optimized Pr4Y6Pu structure.

## Properties
Calculated formation energy   0.1762 eV per atom
Space-group type   P4/mnc (128)

a = 8.7570 Å, b = 8.7570 Å, c = 9.4850 Å
α = 90.00°, β = 90.00°, γ = 90.00°
Site moments in Bohr magnetons follow the coordinates.
Positions (direct):
Y  0.8414  0.6578  0.5000  0.02
Y  0.8422  0.6586  0.0000  0.02
Y  0.3414  0.8422  0.0000  0.02
Y  0.0000  0.0000  0.8284  0.11
Y  0.1578  0.3414  0.0000  0.02
Y  0.6578  0.1586  0.5000  0.02
Y  0.3422  0.8414  0.5000  0.02
Y  0.5000  0.5000  0.6716  0.11
Y  0.0000  0.0000  0.1716  0.11
Y  0.5000  0.5000  0.3284  0.11
Y  0.1586  0.3422  0.5000  0.02
Y  0.6586  0.1578  0.0000  0.02
Pr  0.6411  0.8589  0.2500  0.00
Pr  0.3589  0.1411  0.7500  0.00
Pr  0.1411  0.6411  0.2500  0.00
Pr  0.8589  0.3589  0.2500  0.00
Pr  0.3589  0.1411  0.2500  0.00
Pr  0.6411  0.8589  0.7500  0.00
Pr  0.8589  0.3589  0.7500  0.00
Pr  0.1411  0.6411  0.7500  0.00
Pu  0.5000  0.5000  0.0000  5.61
Pu  0.0000  0.0000  0.5000  5.61



(18)
VASP calculation (PBE-GGA) on a geometry-optimized PrY2Pu structure.

## Properties
Calculated formation energy   0.1119 eV per atom
Space-group type   P4/mmm (123)
ΔE to the lowest computed polymorph   0 meV/atom

a = 3.5571 Å, b = 3.5571 Å, c = 10.1398 Å
α = 90.00°, β = 90.00°, γ = 90.00°
Site moments in Bohr magnetons follow the coordinates.
Positions (direct):
Y  0.0000  0.0000  0.2383  0.12
Y  0.0000  0.0000  0.7617  0.12
Pu  0.5000  0.5000  0.0000  5.61
Pr  0.5000  0.5000  0.5000  -0.01



(19)
VASP calculation (PBE-GGA) on a geometry-optimized Pr2Y5Pu structure.

## Properties
Calculated formation energy   0.1701 eV per atom
Space-group type   P-1 (2)

a = 6.4197 Å, b = 6.8961 Å, c = 13.9800 Å
α = 60.64°, β = 78.94°, γ = 89.97°
Site moments in Bohr magnetons follow the coordinates.
Positions (direct):
Pr  0.5000  0.5000  0.5000  -0.08
Pr  0.5000  0.5000  0.0000  -0.02
Pr  0.5000  0.0000  0.0000  0.03
Pr  0.0000  0.5000  0.5000  0.14
Y  0.0000  0.7515  0.0000  0.06
Y  0.5838  0.4984  0.2509  0.07
Y  0.4162  0.5016  0.7491  0.07
Y  0.9223  0.7424  0.7556  0.09
Y  0.7386  0.9929  0.5069  -0.01
Y  0.0777  0.2576  0.2444  0.09
Y  0.0000  0.2485  0.0000  0.06
Y  0.5843  0.0005  0.2513  0.07
Y  0.2614  0.0071  0.4931  -0.01
Y  0.4157  0.9995  0.7487  0.07
Pu  0.9075  0.2341  0.7641  5.65
Pu  0.0925  0.7659  0.2360  5.65



(20)
VASP calculation (PBE-GGA) on a geometry-optimized Pr2Y6Pu structure.

## Properties
Calculated formation energy   0.2453 eV per atom
Space-group type   C2/m (12)

a = 7.4933 Å, b = 7.6052 Å, c = 12.8593 Å
α = 126.36°, β = 90.00°, γ = 90.00°
Site moments in Bohr magnetons follow the coordinates.
Positions (direct):
Y  0.5000  0.7807  0.2813  -0.03
Y  0.7304  0.7279  0.5003  0.00
Y  0.2304  0.7721  0.9997  0.00
Y  0.7304  0.2721  0.4997  0.00
Y  0.5000  0.2193  0.7187  -0.03
Y  0.2696  0.7279  0.5003  0.00
Y  0.2304  0.2279  0.0003  0.00
Y  0.7696  0.2279  0.0003  0.00
Y  0.0000  0.2807  0.7813  -0.03
Y  0.2696  0.2721  0.4997  0.00
Y  0.0000  0.7193  0.2187  -0.03
Y  0.7696  0.7721  0.9997  0.00
Pu  0.0000  0.0000  0.5000  5.68
Pu  0.5000  0.5000  0.0000  5.68
Pr  0.5000  0.7654  0.7648  -0.11
Pr  0.0000  0.7346  0.7352  -0.11
Pr  0.0000  0.2654  0.2648  -0.11
Pr  0.5000  0.2346  0.2352  -0.11



(21)
VASP calculation (PBE-GGA) on a geometry-optimized Pr6Y4Pu structure.

## Properties
Calculated formation energy   0.1661 eV per atom
Space-group type   Cmcm (63)

a = 5.8990 Å, b = 5.7187 Å, c = 26.1613 Å
α = 90.00°, β = 90.00°, γ = 121.05°
Site moments in Bohr magnetons follow the coordinates.
Positions (direct):
Y  0.5365  0.0731  0.6239  -0.01
Y  0.4635  0.9269  0.3761  -0.01
Y  0.1531  0.3062  0.0443  0.01
Y  0.8469  0.6938  0.9557  0.01
Y  0.8469  0.6938  0.5443  0.01
Y  0.4635  0.9269  0.1239  -0.01
Y  0.5365  0.0731  0.8761  -0.01
Y  0.1531  0.3062  0.4557  0.01
Pr  0.8051  0.6103  0.3979  0.02
Pr  0.1297  0.2593  0.1822  0.03
Pr  0.5000  0.0000  0.5000  0.05
Pr  0.1949  0.3897  0.8979  0.02
Pr  0.4640  0.9280  0.2500  0.12
Pr  0.8051  0.6103  0.1021  0.02
Pr  0.8703  0.7407  0.8178  0.03
Pr  0.8703  0.7407  0.6822  0.03
Pr  0.1949  0.3897  0.6021  0.02
Pr  0.1297  0.2593  0.3178  0.03
Pr  0.5000  0.0000  0.0000  0.05
Pr  0.5360  0.0720  0.7500  0.12
Pu  0.1998  0.3997  0.7500  5.57
Pu  0.8002  0.6003  0.2500  5.57